i) Here is an optimized crystal structure of Nd2SmDy7 from Alexandria. Energies are from GGA-PBE.

extended XYZ file:
```
10
Lattice="-0.890 -2.610 2.182 -8.963 -5.638 -10.399 12.910 1.575 7.150" Properties=species:S:1:pos:R:3 pbc="T T T"
Dy 8.855 0.238 3.896
Dy 2.685 -1.598 2.017
Dy 0.373 -5.075 -3.085
Dy 1.529 -3.336 -0.534
Dy -1.625 -3.019 -1.440
Dy 4.682 -3.654 0.373
Dy -4.907 -4.301 -7.146
Nd 6.060 -1.842 3.102
Nd -3.003 -4.831 -4.170
Sm 0.000 0.000 0.000
```

Computed properties:
The total magnetization comes out at 0.0000 μB/atom. Its symmetry is Cmmm.

ii) Here is an optimized crystal structure of Nd2SmDy7 from Alexandria. Energies are from GGA-PBE.

extended XYZ file:
```
10
Lattice="5.888 0.605 -1.802 2.213 5.824 -5.047 -3.149 -0.437 10.874" Properties=species:S:1:pos:R:3 pbc="T T T"
Dy 2.981 1.959 -0.252
Dy 1.970 4.033 4.276
Dy 7.026 5.171 -3.671
Dy 5.956 3.921 -0.487
Dy -1.005 2.071 4.511
Dy 4.050 3.214 -3.425
Dy -2.075 0.821 7.696
Nd 3.043 5.282 1.089
Nd 1.908 0.710 2.936
Sm 0.000 0.000 0.000
```

Computed properties:
The total magnetization comes out at 0.0000 μB/atom. Its symmetry is P-1.

According to the calculations, the structures order from most to least stable as ii), i).